# 1
Material: Pr3ZnIr
Method: DFT, GGA-PBE
State: optimized geometry

Final energy = -5.27 eV/atom
Calculated density = 7.82 Mg/m³
Symmetry = No. 9
Formation energy = -378 meV per atom

a = 7.0532 Å, b = 7.0532 Å, c = 7.4901 Å
α = 99.23°, β = 99.23°, γ = 51.97°
Closest atoms and distances in Å follow each position.
Element x y z (fractional)
Pr: 0.0942 0.9058 0.5000  2 Ir 2.90-2.92, 2 Zn 3.02-3.10
Pr: 0.2553 0.4788 0.1000  2 Ir 3.01-3.07, 2 Zn 3.14-3.20
Pr: 0.4788 0.2553 0.6000  2 Ir 3.01-3.07, 2 Zn 3.14-3.20
Pr: 0.5866 0.7894 0.9103  2 Ir 2.94-2.99, 2 Zn 3.20-3.21
Pr: 0.7894 0.5866 0.4103  2 Ir 2.94-2.99, 2 Zn 3.20-3.21
Pr: 0.9058 0.0942 0.0000  2 Ir 2.90-2.92, 2 Zn 3.02-3.10
Zn: 0.0648 0.2918 0.7659  1 Ir 2.61
Zn: 0.2918 0.0648 0.2659  1 Ir 2.61
Ir: 0.6950 0.9987 0.2443  1 Zn 2.61, 2 Pr 2.90-2.92
Ir: 0.9987 0.6950 0.7443  1 Zn 2.61, 2 Pr 2.90-2.92

---

# 2
Material: Pr3Zn2Ir7
Method: DFT, GGA-PBE
State: optimized geometry

Final energy = -7.15 eV/atom
Calculated density = 14.26 Mg/m³
Symmetry = No. 166
Formation energy = -578 meV per atom

a = 9.0288 Å, b = 9.0288 Å, c = 9.0288 Å
α = 35.44°, β = 35.44°, γ = 35.44°
Closest atoms and distances in Å follow each position.
Element x y z (fractional)
Pr: 0.0000 0.0000 0.0000  6 Zn 3.17, 12 Ir 3.45
Pr: 0.1407 0.1407 0.1407  12 Ir 3.12-3.24, 3 Pr 3.44
Pr: 0.8593 0.8593 0.8593  12 Ir 3.12-3.24, 3 Pr 3.44
Zn: 0.3349 0.3349 0.3349  6 Ir 2.61-2.64
Zn: 0.6651 0.6651 0.6651  6 Ir 2.61-2.64
Ir: 0.0774 0.5849 0.5849  2 Zn 2.61-2.64, 5 Ir 2.68-2.79
Ir: 0.4151 0.4151 0.9226  2 Zn 2.61-2.64, 5 Ir 2.68-2.79
Ir: 0.4151 0.9226 0.4151  2 Zn 2.61-2.64, 5 Ir 2.68-2.79
Ir: 0.5000 0.5000 0.5000  6 Ir 2.68
Ir: 0.5849 0.0774 0.5849  2 Zn 2.61-2.64, 5 Ir 2.68-2.79
Ir: 0.5849 0.5849 0.0774  2 Zn 2.61-2.64, 5 Ir 2.68-2.79
Ir: 0.9226 0.4151 0.4151  2 Zn 2.61-2.64, 5 Ir 2.68-2.79

---

# 3
Material: Pr6Zn5Ir
Method: DFT, GGA-PBE
State: optimized geometry

Final energy = -4.02 eV/atom
Calculated density = 7.51 Mg/m³
Symmetry = No. 12
Formation energy = -359 meV per atom

a = 9.0327 Å, b = 9.0327 Å, c = 5.2129 Å
α = 106.78°, β = 106.78°, γ = 119.84°
Closest atoms and distances in Å follow each position.
Element x y z (fractional)
Pr: 0.0816 0.4017 0.7412  1 Ir 3.08, 7 Zn 3.14-3.24
Pr: 0.2383 0.2383 0.2373  2 Ir 3.14-3.15, 6 Zn 3.24-3.33
Pr: 0.4017 0.0816 0.7412  1 Ir 3.08, 7 Zn 3.14-3.24
Pr: 0.5983 0.9184 0.2588  1 Ir 3.08, 7 Zn 3.14-3.24
Pr: 0.7617 0.7617 0.7627  2 Ir 3.14-3.15, 6 Zn 3.24-3.33
Pr: 0.9184 0.5983 0.2588  1 Ir 3.08, 7 Zn 3.14-3.24
Zn: 0.1804 0.8196 0.0000  8 Pr 3.14-3.33, 2 Zn 3.51
Zn: 0.3309 0.6691 0.5000  8 Pr 3.21-3.28, 2 Zn 3.51
Zn: 0.5000 0.5000 0.0000  8 Pr 3.15-3.25
Zn: 0.6691 0.3309 0.5000  8 Pr 3.21-3.28, 2 Zn 3.51
Zn: 0.8196 0.1804 0.0000  8 Pr 3.14-3.33, 2 Zn 3.51
Ir: 0.0000 0.0000 0.5000  8 Pr 3.08-3.15